(1)
First-principles (PBE-GGA) data for a geometry-optimized HoCdHg5 structure, as listed in Alexandria via LeMat-Bulk.

Calculated values
- formation energy (eV per atom) = -0.18
- total energy (eV for the cell shown) = -8.27
- SG = P4/mmm, No. 123

Cell lengths 4.8962, 4.8962, 7.3477 Å; angles 90.00, 90.00, 90.00 degrees
Fractional coordinates of all 7 atoms:
Ho 0.0000 0.0000 0.0000
Cd 0.0000 0.0000 0.5000
Hg 0.0000 0.5000 0.2755
Hg 0.0000 0.5000 0.7245
Hg 0.5000 0.0000 0.2755
Hg 0.5000 0.0000 0.7245
Hg 0.5000 0.5000 0.0000



(2)
First-principles (PBE-GGA) data for a geometry-optimized HoCd2Hg structure, as listed in Alexandria via LeMat-Bulk.

Calculated values
- formation energy (eV per atom) = 0.16
- total energy (eV for the cell shown) = -6.06
- ΔE to the lowest computed polymorph (meV/atom) = 462
- SG = R-3m, No. 166

Cell lengths 11.5385, 11.5385, 11.5385 Å; angles 16.40, 16.40, 16.40 degrees
Fractional coordinates of all 4 atoms:
Ho 0.0000 0.0000 0.0000
Cd 0.0913 0.0913 0.0913
Cd 0.9087 0.9087 0.9087
Hg 0.5000 0.5000 0.5000



(3)
First-principles (PBE-GGA) data for a geometry-optimized Ho3Cd2Hg7 structure, as listed in Alexandria via LeMat-Bulk.

Calculated values
- formation energy (eV per atom) = -0.19
- total energy (eV for the cell shown) = -19.96
- SG = Cmmm, No. 65

Cell lengths 15.1010, 15.1010, 4.2931 Å; angles 90.00, 90.00, 161.30 degrees
Fractional coordinates of all 12 atoms:
Ho 0.0000 0.0000 0.0000
Ho 0.1507 0.8493 0.0000
Ho 0.8493 0.1507 0.0000
Cd 0.3401 0.6599 0.5000
Cd 0.6599 0.3401 0.5000
Hg 0.0759 0.9241 0.5000
Hg 0.2246 0.7754 0.5000
Hg 0.4182 0.5818 0.0000
Hg 0.5000 0.5000 0.5000
Hg 0.5818 0.4182 0.0000
Hg 0.7754 0.2246 0.5000
Hg 0.9241 0.0759 0.5000



> Look up the formation energy of the first one.

-0.18 eV per atom



> Among the records above, which one has the lowest formation energy?

Ho3Cd2Hg7



Please write out number 1 again, unchanged.
First-principles (PBE-GGA) data for a geometry-optimized HoCdHg5 structure, as listed in Alexandria via LeMat-Bulk.

Calculated values
- formation energy (eV per atom) = -0.18
- total energy (eV for the cell shown) = -8.27
- SG = P4/mmm, No. 123

Cell lengths 4.8962, 4.8962, 7.3477 Å; angles 90.00, 90.00, 90.00 degrees
Fractional coordinates of all 7 atoms:
Ho 0.0000 0.0000 0.0000
Cd 0.0000 0.0000 0.5000
Hg 0.0000 0.5000 0.2755
Hg 0.0000 0.5000 0.7245
Hg 0.5000 0.0000 0.2755
Hg 0.5000 0.0000 0.7245
Hg 0.5000 0.5000 0.0000



What did the second record say?
First-principles (PBE-GGA) data for a geometry-optimized HoCd2Hg structure, as listed in Alexandria via LeMat-Bulk.

Calculated values
- formation energy (eV per atom) = 0.16
- total energy (eV for the cell shown) = -6.06
- ΔE to the lowest computed polymorph (meV/atom) = 462
- SG = R-3m, No. 166

Cell lengths 11.5385, 11.5385, 11.5385 Å; angles 16.40, 16.40, 16.40 degrees
Fractional coordinates of all 4 atoms:
Ho 0.0000 0.0000 0.0000
Cd 0.0913 0.0913 0.0913
Cd 0.9087 0.9087 0.9087
Hg 0.5000 0.5000 0.5000